Material: ZrTl2
Method: DFT, PBE-GGA
State: optimized geometry

M_tot (μB per cell): 0.000
ΔE_f (eV/f.u.): 0.295
N(E_F) (states/eV per cell): 3.8

Lattice parameters (Å, degrees): 6.0662 6.0662 8.9909 115.18 115.18 31.31
Closest atoms and distances in Å follow each position.
Fractional coordinates of all 6 atoms:
Zr (0.1857, 0.1857, 0.0859)  4 Zr 3.06-3.27, 7 Tl 3.14-3.41
Zr (0.8143, 0.8143, 0.9141)  4 Zr 3.06-3.27, 7 Tl 3.14-3.41
Tl (0.1541, 0.1541, 0.5853)  2 Zr 3.17, 8 Tl 3.23-3.54
Tl (0.4920, 0.4920, 0.7804)  5 Zr 3.14-3.41, 6 Tl 3.27-3.50
Tl (0.5080, 0.5080, 0.2196)  5 Zr 3.14-3.41, 6 Tl 3.27-3.50
Tl (0.8459, 0.8459, 0.4147)  2 Zr 3.17, 8 Tl 3.23-3.54

***

Material: Ca3Pm2PaN6
Method: DFT, PBE-GGA
State: optimized geometry

M_tot (μB per cell): 0.927
Formation energy from raw total energies (eV/atom): -1.275
N(E_F) (states/eV per cell): 14.0

Lattice parameters (Å, degrees): 6.2061 6.2061 6.1295 99.75 99.75 120.01
Closest atoms and distances in Å follow each position.
Fractional coordinates of all 12 atoms:
Ca (0.0000, 0.0000, 0.0000)  6 N 2.55-2.74
Ca (0.3346, 0.6654, 0.0000)  6 N 2.55-2.72
Ca (0.6654, 0.3346, 0.0000)  6 N 2.55-2.72
Pm (0.1668, 0.8332, 0.5000)  6 N 2.50-2.51
Pm (0.8332, 0.1668, 0.5000)  6 N 2.50-2.51
Pa (0.5000, 0.5000, 0.5000)  6 N 2.31-2.33
N (0.1134, 0.4243, 0.2733)  1 Pa 2.33, 2 Pm 2.51, 2 Ca 2.55
N (0.2645, 0.2645, 0.7217)  1 Pa 2.31, 2 Pm 2.50, 2 Ca 2.55
N (0.4243, 0.1134, 0.2733)  1 Pa 2.33, 2 Pm 2.51, 2 Ca 2.55
N (0.5757, 0.8866, 0.7267)  1 Pa 2.33, 2 Pm 2.51, 2 Ca 2.55
N (0.7355, 0.7355, 0.2783)  1 Pa 2.31, 2 Pm 2.50, 2 Ca 2.55
N (0.8866, 0.5757, 0.7267)  1 Pa 2.33, 2 Pm 2.51, 2 Ca 2.55

***

Material: Pu3PaGa
Method: DFT, PBE-GGA
State: optimized geometry

M_tot (μB per cell): 0.000
ΔE_f (eV/f.u.): 0.026
N(E_F) (states/eV per cell): 6.8

Lattice parameters (Å, degrees): 3.5329 5.9533 5.9533 55.91 90.00 90.00
Closest atoms and distances in Å follow each position.
Fractional coordinates of all 5 atoms:
Pu (0.0000, 0.0000, 0.0000)  4 Pu 2.40, 1 Pa 2.48
Pu (0.5000, 0.3088, 0.7326)  3 Pu 2.37-2.40
Pu (0.5000, 0.7326, 0.3088)  3 Pu 2.37-2.40
Pa (0.0000, 0.7638, 0.7638)  1 Pu 2.48
Ga (0.5000, 0.2575, 0.2575)  6 Pu 2.96-3.23, 4 Pa 3.30

***

Material: Na2In5Ag3
Method: DFT, PBE-GGA
State: optimized geometry

M_tot (μB per cell): 0.000
ΔE_f (eV/f.u.): -0.809
N(E_F) (states/eV per cell): 8.5

Lattice parameters (Å, degrees): 13.7531 13.7531 7.6789 90.00 90.00 160.44
Closest atoms and distances in Å follow each position.
Fractional coordinates of all 20 atoms:
Na (0.0211, 0.9789, 0.5000)  5 Ag 3.08-3.38, 3 In 3.36-3.40
Na (0.3219, 0.6781, 0.4077)  4 Ag 3.21-3.45, 9 In 3.30-3.58
Na (0.6781, 0.3219, 0.9077)  4 Ag 3.21-3.45, 9 In 3.30-3.58
Na (0.9789, 0.0211, 0.0000)  5 Ag 3.08-3.38, 3 In 3.36-3.40
In (0.0992, 0.9008, 0.1247)  3 Ag 2.86-2.96, 1 In 2.97
In (0.2071, 0.7929, 0.1926)  3 Ag 2.85-2.90, 2 In 2.97-3.10
In (0.2072, 0.7928, 0.5969)  4 Ag 2.82-2.88, 1 In 3.10
In (0.3776, 0.6224, 0.9786)  4 Ag 2.92-3.10
In (0.4454, 0.5546, 0.3356)  4 Ag 2.83-2.95
In (0.5546, 0.4454, 0.8356)  4 Ag 2.83-2.95
In (0.6224, 0.3776, 0.4786)  4 Ag 2.92-3.10
In (0.7928, 0.2072, 0.0969)  4 Ag 2.82-2.88, 1 In 3.10
In (0.7929, 0.2071, 0.6926)  3 Ag 2.85-2.90, 2 In 2.97-3.10
In (0.9008, 0.0992, 0.6247)  3 Ag 2.86-2.96, 1 In 2.97
Ag (0.1117, 0.8883, 0.7416)  6 In 2.82-3.10, 1 Na 3.08
Ag (0.2714, 0.7286, 0.8904)  7 In 2.85-2.96
Ag (0.4557, 0.5443, 0.7177)  5 In 2.83-2.95
Ag (0.5443, 0.4557, 0.2177)  5 In 2.83-2.95
Ag (0.7286, 0.2714, 0.3904)  7 In 2.85-2.96
Ag (0.8883, 0.1117, 0.2416)  6 In 2.82-3.10, 1 Na 3.08

***

Material: SrLiAu
Method: DFT, PBE-GGA
State: optimized geometry

M_tot (μB per cell): 0.000
ΔE_f (eV/f.u.): -1.343
N(E_F) (states/eV per cell): 1.1

Lattice parameters (Å, degrees): 5.9476 5.9476 5.9476 143.06 143.06 53.24
Closest atoms and distances in Å follow each position.
Fractional coordinates of all 3 atoms:
Sr (0.0000, 0.0000, 0.0000)  1 Li 2.98, 4 Au 3.31
Li (0.2806, 0.2806, 0.0000)  4 Au 2.85, 1 Sr 2.98
Au (0.6849, 0.6849, 0.0000)  4 Li 2.85

***

Material: YbNi4As2
Method: DFT, PBE-GGA
State: optimized geometry

M_tot (μB per cell): 0.316
ΔE_f (eV/f.u.): -3.996
N(E_F) (states/eV per cell): 32.0

Lattice parameters (Å, degrees): 7.2899 7.2899 3.7418 90.00 90.00 90.00
Closest atoms and distances in Å follow each position.
Fractional coordinates of all 14 atoms:
Yb (0.0000, 0.0000, 0.0000)  6 As 2.89-2.94, 12 Ni 3.19-3.22
Yb (0.5000, 0.5000, 0.5000)  6 As 2.89-2.94, 12 Ni 3.19-3.22
Ni (0.0863, 0.3444, 0.5000)  3 As 2.39-2.41, 6 Ni 2.59-2.66
Ni (0.1556, 0.5863, 0.0000)  3 As 2.39-2.41, 6 Ni 2.59-2.66
Ni (0.3444, 0.0863, 0.5000)  3 As 2.39-2.41, 6 Ni 2.59-2.66
Ni (0.4137, 0.8444, 0.0000)  3 As 2.39-2.41, 6 Ni 2.59-2.66
Ni (0.5863, 0.1556, 0.0000)  3 As 2.39-2.41, 6 Ni 2.59-2.66
Ni (0.6556, 0.9137, 0.5000)  3 As 2.39-2.41, 6 Ni 2.59-2.66
Ni (0.8444, 0.4137, 0.0000)  3 As 2.39-2.41, 6 Ni 2.59-2.66
Ni (0.9137, 0.6556, 0.5000)  3 As 2.39-2.41, 6 Ni 2.59-2.66
As (0.2194, 0.7806, 0.5000)  6 Ni 2.39-2.41
As (0.2806, 0.2806, 0.0000)  6 Ni 2.39-2.41
As (0.7194, 0.7194, 0.0000)  6 Ni 2.39-2.41
As (0.7806, 0.2194, 0.5000)  6 Ni 2.39-2.41

***

Material: NaPtI3
Method: DFT, PBE-GGA
State: optimized geometry

M_tot (μB per cell): 2.029
Formation energy from raw total energies (eV/atom): 0.690
N(E_F) (states/eV per cell): 8.7

Lattice parameters (Å, degrees): 5.7552 5.7552 5.7552 90.00 90.00 90.00
Closest atoms and distances in Å follow each position.
Fractional coordinates of all 5 atoms:
Na (0.0000, 0.0000, 0.0000)  6 I 2.88
Pt (0.5000, 0.5000, 0.5000)  12 I 4.07
I (0.0000, 0.0000, 0.5000)  2 Na 2.88
I (0.0000, 0.5000, 0.0000)  2 Na 2.88
I (0.5000, 0.0000, 0.0000)  2 Na 2.88

***

Material: ScTlZn
Method: DFT, PBE-GGA
State: optimized geometry

M_tot (μB per cell): 0.000
ΔE_f (eV/f.u.): -0.447
N(E_F) (states/eV per cell): 2.8

Lattice parameters (Å, degrees): 4.4227 6.0477 6.0659 119.73 90.31 111.10
Closest atoms and distances in Å follow each position.
Fractional coordinates of all 6 atoms:
Sc (0.0000, 0.0000, 0.0000)  3 Zn 2.84-3.01, 4 Tl 2.97-3.15
Sc (0.3538, 0.7047, 0.1950)  4 Zn 2.88-3.07, 2 Tl 3.03
Tl (0.0413, 0.0783, 0.5537)  3 Zn 2.83-3.04, 4 Sc 2.97-3.15
Tl (0.6940, 0.3878, 0.3401)  4 Zn 2.89-3.10, 3 Sc 3.02-3.23
Zn (0.3408, 0.6816, 0.6898)  4 Sc 2.84-3.07, 3 Tl 2.89-3.04
Zn (0.7020, 0.4001, 0.8574)  4 Tl 2.83-3.10, 3 Sc 2.88-3.01

***

Material: La2Sb2Au
Method: DFT, PBE-GGA
State: optimized geometry

M_tot (μB per cell): 0.001
Formation energy from raw total energies (eV/atom): -0.968
N(E_F) (states/eV per cell): 5.6

Lattice parameters (Å, degrees): 6.4518 6.4518 11.9189 116.27 116.27 41.08
Closest atoms and distances in Å follow each position.
Fractional coordinates of all 10 atoms:
La (0.0064, 0.0064, 0.1664)  6 Sb 3.29-3.43, 3 Au 3.31-3.63
La (0.1700, 0.1700, 0.6121)  6 Sb 3.24-3.60, 2 Au 3.34
La (0.8300, 0.8300, 0.3879)  6 Sb 3.24-3.60, 2 Au 3.34
La (0.9936, 0.9936, 0.8336)  6 Sb 3.29-3.43, 3 Au 3.31-3.63
Sb (0.3420, 0.3420, 0.9296)  3 Au 2.81-3.11
Sb (0.4386, 0.4386, 0.6128)  1 Au 2.90, 1 La 3.24
Sb (0.5614, 0.5614, 0.3872)  1 Au 2.90, 1 La 3.24
Sb (0.6580, 0.6580, 0.0704)  3 Au 2.81-3.11
Au (0.3099, 0.3099, 0.1736)  4 Sb 2.81-3.11
Au (0.6901, 0.6901, 0.8264)  4 Sb 2.81-3.11

***

Material: Sr2CuNi2
Method: DFT, PBE-GGA
State: optimized geometry

M_tot (μB per cell): 0.000
ΔE_f (eV/f.u.): 0.631
N(E_F) (states/eV per cell): 8.7

Lattice parameters (Å, degrees): 7.0173 7.0173 4.4279 90.00 90.00 90.00
Closest atoms and distances in Å follow each position.
Fractional coordinates of all 10 atoms:
Sr (0.1820, 0.3180, 0.0000)  6 Ni 2.97-3.09
Sr (0.3180, 0.8180, 0.0000)  6 Ni 2.97-3.09
Sr (0.6820, 0.1820, 0.0000)  6 Ni 2.97-3.09
Sr (0.8180, 0.6820, 0.0000)  6 Ni 2.97-3.09
Cu (0.0000, 0.0000, 0.5000)  4 Ni 2.80
Cu (0.5000, 0.5000, 0.5000)  4 Ni 2.80
Ni (0.1191, 0.6191, 0.5000)  1 Ni 2.36
Ni (0.3809, 0.1191, 0.5000)  1 Ni 2.36
Ni (0.6191, 0.8809, 0.5000)  1 Ni 2.36
Ni (0.8809, 0.3809, 0.5000)  1 Ni 2.36

***

Material: YRuPt2
Method: DFT, PBE-GGA
State: optimized geometry

M_tot (μB per cell): 0.174
ΔE_f (eV/f.u.): 0.214
N(E_F) (states/eV per cell): 3.9

Lattice parameters (Å, degrees): 9.6346 9.6346 9.6346 17.32 17.32 17.32
Closest atoms and distances in Å follow each position.
Fractional coordinates of all 4 atoms:
Y (0.0000, 0.0000, 0.0000)  6 Y 2.90, 6 Pt 3.05
Ru (0.5000, 0.5000, 0.5000)  6 Pt 2.76, 6 Ru 2.90
Pt (0.2438, 0.2438, 0.2438)  3 Ru 2.76, 6 Pt 2.90, 3 Y 3.05
Pt (0.7562, 0.7562, 0.7562)  3 Ru 2.76, 6 Pt 2.90, 3 Y 3.05

***

Material: AgHg3
Method: DFT, PBE-GGA
State: optimized geometry

M_tot (μB per cell): 0.000
ΔE_f (eV/f.u.): 0.255
N(E_F) (states/eV per cell): 1.3

Lattice parameters (Å, degrees): 7.0102 7.0102 7.0102 155.30 50.15 137.08
Closest atoms and distances in Å follow each position.
Fractional coordinates of all 4 atoms:
Ag (0.0000, 0.0000, 0.0000)  8 Hg 2.97-3.01, 2 Ag 3.00
Hg (0.2117, 0.5064, 0.7054)  6 Hg 3.00-3.18, 2 Ag 3.01
Hg (0.5009, 0.0009, 0.5000)  4 Ag 2.97-2.98, 2 Hg 3.00
Hg (0.8010, 0.5064, 0.2946)  6 Hg 3.00-3.18, 2 Ag 3.01

***

Material: Ac2YAs4Pd3
Method: DFT, PBE-GGA
State: optimized geometry

M_tot (μB per cell): 0.000
ΔE_f (eV/f.u.): -10.132
N(E_F) (states/eV per cell): 2.9

Lattice parameters (Å, degrees): 4.5552 4.5552 10.9547 90.00 90.00 90.00
Closest atoms and distances in Å follow each position.
Fractional coordinates of all 10 atoms:
Ac (0.0000, 0.5000, 0.2185)  8 As 3.30-3.52, 5 Pd 3.43-3.62
Ac (0.5000, 0.0000, 0.7815)  8 As 3.30-3.52, 5 Pd 3.43-3.62
Y (0.0000, 0.0000, 0.5000)  4 As 2.82
As (0.0000, 0.0000, 0.0000)  4 Pd 2.59
As (0.0000, 0.5000, 0.6522)  3 Pd 2.58-2.82, 2 Y 2.82
As (0.5000, 0.0000, 0.3478)  3 Pd 2.58-2.82, 2 Y 2.82
As (0.5000, 0.5000, 0.0000)  4 Pd 2.59
Pd (0.0000, 0.5000, 0.8879)  5 As 2.58-2.59
Pd (0.5000, 0.0000, 0.1121)  5 As 2.58-2.59
Pd (0.5000, 0.5000, 0.5000)  4 As 2.82

***

Material: Fe3SeS
Method: DFT, PBE-GGA
State: optimized geometry

M_tot (μB per cell): 9.660
Formation energy from raw total energies (eV/atom): 0.814
N(E_F) (states/eV per cell): 7.3

Lattice parameters (Å, degrees): 4.5216 4.5216 4.5216 90.00 90.00 90.00
Closest atoms and distances in Å follow each position.
Fractional coordinates of all 5 atoms:
Fe (0.0000, 0.0000, 0.5000)  2 Se 2.26
Fe (0.0000, 0.5000, 0.0000)  2 Se 2.26
Fe (0.5000, 0.0000, 0.0000)  2 Se 2.26
Se (0.0000, 0.0000, 0.0000)  6 Fe 2.26
S (0.5000, 0.5000, 0.5000)  12 Fe 3.20

***

Material: NaSnTe2I
Method: DFT, PBE-GGA
State: optimized geometry

M_tot (μB per cell): 0.000
Formation energy from raw total energies (eV/atom): -0.175
N(E_F) (states/eV per cell): 4.4

Lattice parameters (Å, degrees): 5.7474 5.7474 6.2752 90.00 90.00 90.00
Closest atoms and distances in Å follow each position.
Fractional coordinates of all 5 atoms:
Na (0.0000, 0.0000, 0.0000)  4 I 4.06, 8 Te 4.25
Sn (0.5000, 0.5000, 0.5000)  4 Te 2.87, 2 I 3.14
Te (0.0000, 0.5000, 0.5000)  2 Sn 2.87
Te (0.5000, 0.0000, 0.5000)  2 Sn 2.87
I (0.5000, 0.5000, 0.0000)  2 Sn 3.14

***

Material: Pr3TmN
Method: DFT, PBE-GGA
State: optimized geometry

M_tot (μB per cell): 0.000
Formation energy from raw total energies (eV/atom): -0.437
N(E_F) (states/eV per cell): 5.5

Lattice parameters (Å, degrees): 5.1769 5.1769 5.1769 90.00 90.00 90.00
Closest atoms and distances in Å follow each position.
Fractional coordinates of all 5 atoms:
Pr (0.0000, 0.0000, 0.5000)  2 N 2.59
Pr (0.0000, 0.5000, 0.0000)  2 N 2.59
Pr (0.5000, 0.0000, 0.0000)  2 N 2.59
Tm (0.5000, 0.5000, 0.5000)  12 Pr 3.66
N (0.0000, 0.0000, 0.0000)  6 Pr 2.59

***

Material: Ta2AlRh
Method: DFT, PBE-GGA
State: optimized geometry

M_tot (μB per cell): 0.000
ΔE_f (eV/f.u.): -1.402
N(E_F) (states/eV per cell): 3.5

Lattice parameters (Å, degrees): 5.1325 5.1325 5.1325 135.73 135.73 64.41
Closest atoms and distances in Å follow each position.
Fractional coordinates of all 4 atoms:
Ta (0.2500, 0.7500, 0.5000)  4 Ta 2.74, 4 Rh 2.91, 4 Al 2.91
Ta (0.7500, 0.2500, 0.5000)  4 Ta 2.74, 4 Rh 2.91, 4 Al 2.91
Al (0.0000, 0.0000, 0.0000)  4 Rh 2.74, 8 Ta 2.91
Rh (0.5000, 0.5000, 0.0000)  4 Al 2.74, 8 Ta 2.91

***

Material: Tb3Y5Th
Method: DFT, PBE-GGA
State: optimized geometry

M_tot (μB per cell): 0.000
ΔE_f (eV/f.u.): 0.534
N(E_F) (states/eV per cell): 32.1

Lattice parameters (Å, degrees): 9.7459 9.7459 7.0211 90.00 90.00 120.00
Closest atoms and distances in Å follow each position.
Fractional coordinates of all 18 atoms:
Tb (0.0000, 0.3330, 0.2500)  5 Y 3.24-3.51
Tb (0.0000, 0.6670, 0.7500)  5 Y 3.24-3.51
Tb (0.3330, 0.0000, 0.2500)  5 Y 3.24-3.51
Tb (0.3330, 0.3330, 0.7500)  5 Y 3.24-3.51
Tb (0.6670, 0.0000, 0.7500)  5 Y 3.24-3.51
Tb (0.6670, 0.6670, 0.2500)  5 Y 3.24-3.51
Y (0.0000, 0.3320, 0.7500)  5 Tb 3.24-3.51
Y (0.0000, 0.6680, 0.2500)  5 Tb 3.24-3.51
Y (0.3320, 0.0000, 0.7500)  5 Tb 3.24-3.51
Y (0.3320, 0.3320, 0.2500)  5 Tb 3.24-3.51
Y (0.3333, 0.6667, 0.0000)  8 Y 3.51-3.70, 6 Tb 3.69
Y (0.3333, 0.6667, 0.5000)  8 Y 3.51-3.70, 6 Tb 3.69
Y (0.6667, 0.3333, 0.0000)  8 Y 3.51-3.70, 6 Tb 3.69
Y (0.6667, 0.3333, 0.5000)  8 Y 3.51-3.70, 6 Tb 3.69
Y (0.6680, 0.0000, 0.2500)  5 Tb 3.24-3.51
Y (0.6680, 0.6680, 0.7500)  5 Tb 3.24-3.51
Th (0.0000, 0.0000, 0.0000)  2 Th 3.51, 6 Y 3.68, 6 Tb 3.69
Th (0.0000, 0.0000, 0.5000)  2 Th 3.51, 6 Y 3.68, 6 Tb 3.69

***

Material: CeMgBr4
Method: DFT, PBE-GGA
State: optimized geometry

M_tot (μB per cell): 2.005
Formation energy from raw total energies (eV/atom): -1.503
N(E_F) (states/eV per cell): 7.5

Lattice parameters (Å, degrees): 8.1825 8.1825 7.5770 116.48 116.48 27.33
Closest atoms and distances in Å follow each position.
Fractional coordinates of all 6 atoms:
Ce (0.0000, 0.0000, 0.0000)  6 Br 3.03-3.05
Mg (0.5000, 0.5000, 0.5000)  6 Br 2.71-2.72
Br (0.1074, 0.1074, 0.7539)  2 Mg 2.71
Br (0.3819, 0.3819, 0.6698)  1 Mg 2.72, 2 Ce 3.03
Br (0.6181, 0.6181, 0.3302)  1 Mg 2.72, 2 Ce 3.03
Br (0.8926, 0.8926, 0.2461)  2 Mg 2.71

***

Material: LiNi2Ru
Method: DFT, PBE-GGA
State: optimized geometry

M_tot (μB per cell): 1.318
ΔE_f (eV/f.u.): 0.780
N(E_F) (states/eV per cell): 5.0

Lattice parameters (Å, degrees): 2.5432 2.5432 8.5832 90.00 90.00 116.19
Closest atoms and distances in Å follow each position.
Fractional coordinates of all 4 atoms:
Li (0.0000, 0.0000, 0.0000)  2 Ni 2.51, 6 Li 2.54-2.69, 2 Ru 2.67
Ni (0.0000, 0.0000, 0.4813)  8 Ni 2.42-2.69, 2 Ru 2.53
Ni (0.5000, 0.5000, 0.2464)  8 Ni 2.42-2.69, 2 Li 2.51
Ru (0.5000, 0.5000, 0.7317)  2 Ni 2.53, 6 Ru 2.54-2.69, 2 Li 2.67